(1)
YTm2Rh9: optimized geometry, PBE.

Summary:
N(E_F)	1.0756	states/eV per atom
ΔH_f (0 K)	-0.581	eV/atom

Cell and atoms, written as POSCAR:
```
YTm2Rh9
1.0
0.147 1.825 4.912
4.604 0.623 2.428
2.088 8.989 -0.606
Y Tm Rh
1 2 9
Direct
0.000 0.000 0.000
0.861 0.861 0.418
0.139 0.139 0.582
0.667 0.667 0.999
0.333 0.333 0.001
0.500 0.500 0.500
0.416 0.416 0.250
0.918 0.416 0.250
0.416 0.918 0.250
0.584 0.584 0.750
0.584 0.082 0.750
0.082 0.584 0.750
```

=====

(2)
Ta3SbI: optimized geometry, PBE.

Summary:
energy above the lowest structure with this stoichiometry	0.000	eV/atom
N(E_F)	1.1687	states/eV per atom

Cell and atoms, written as POSCAR:
```
Ta3SbI
1.0
-4.773 1.705 0.686
-1.462 -2.364 -4.293
-1.114 -4.203 2.694
I Sb Ta
1 1 3
Direct
0.500 0.500 0.500
0.000 0.000 0.000
0.000 0.500 0.000
0.000 0.000 0.500
0.500 0.000 0.000
```

=====

(3)
HoAl3: optimized geometry, PBE.

Summary:
N(E_F)	0.3003	states/eV per atom
ΔH_f (0 K)	-0.427	eV/atom

Cell and atoms, written as POSCAR:
```
HoAl3
1.0
6.155 0.000 0.000
3.077 5.330 0.000
3.077 1.777 7.056
Ho Al
3 9
Direct
0.781 0.781 0.656
0.219 0.219 0.344
0.000 0.000 0.000
0.260 0.705 0.331
0.705 0.260 0.331
0.705 0.705 0.331
0.000 0.500 0.000
0.500 0.500 0.000
0.500 0.000 0.000
0.295 0.740 0.669
0.740 0.295 0.669
0.295 0.295 0.669
```

=====

(4)
Er2TlSe: optimized geometry, PBE.

Summary:
energy above the lowest structure with this stoichiometry	0.042	eV/atom
N(E_F)	0.6119	states/eV per atom

Cell and atoms, written as POSCAR:
```
Er2TlSe
1.0
-2.278 2.266 2.118
-3.405 1.138 -1.384
-5.443 -5.497 3.523
Er Tl Se
2 1 1
Direct
0.071 0.071 0.788
0.262 0.262 0.213
0.500 0.500 0.501
0.667 0.667 0.998
```